VASP calculation (PBE-GGA) on crystalline ZrScTe3 at its relaxed geometry.

Values from the calculation:
As for the uncorrected formation energy: -887 meV per atom. The space group is C2/c (15).

a b c (Å): 7.0103 9.2984 9.2984
angles (deg): 81.29 99.06 99.06
Sites, in units of the cell vectors:
Zr1 0.7500 0.9364 0.0636
Zr2 0.2500 0.0636 0.9364
Zr3 0.7500 0.2383 0.7617
Zr4 0.2500 0.7617 0.2383
Sc1 0.1733 0.1770 0.3442
Sc2 0.3267 0.6558 0.8230
Sc3 0.8267 0.8230 0.6558
Sc4 0.6733 0.3442 0.1770
Te1 0.4862 0.0438 0.2301
Te2 0.0138 0.7699 0.9562
Te3 0.5138 0.9562 0.7699
Te4 0.9862 0.2301 0.0438
Te5 0.0377 0.1269 0.6340
Te6 0.4623 0.3660 0.8731
Te7 0.9623 0.8731 0.3660
Te8 0.5377 0.6340 0.1269
Te9 0.5364 0.3254 0.4676
Te10 0.9636 0.5324 0.6746
Te11 0.4636 0.6746 0.5324
Te12 0.0364 0.4676 0.3254


VASP calculation (PBE-GGA) on crystalline DyErTm at its relaxed geometry.

Values from the calculation:
The space group is P3m1 (156). The formation enthalpy at 0 K comes out at 0.078 eV/atom.

a b c (Å): 3.4273 5.5418 5.5418
angles (deg): 120.00 90.00 90.00
Sites, in units of the cell vectors:
Tm1 0.1678 0.6667 0.3333
Dy1 0.6667 0.3333 0.6667
Er1 0.1655 0.0000 0.0000


What are the total magnetic moment values for these records? In order: 0.00; 0.00 Bohr magnetons per cell.
What are the DFT total energy values for these records? In order: -0.2112; -0.1642 hartree per atom.